Entry P
Density functional theory data (PBE) for crystalline NaHOs2 at its relaxed geometry.

Geometry as POSCAR:
```
NaHOs2
1.0
0.000 2.949 2.949
2.949 0.000 2.949
2.949 2.949 0.000
Na H Os
1 1 2
direct
0.000 0.000 0.000 Na
0.500 0.500 0.500 H
0.250 0.250 0.250 Os
0.750 0.750 0.750 Os
```

Output
- DOS(E_F) (states/eV per cell) = 5.089

---

Entry Q
Density functional theory data (PBE) for crystalline NaHOs2 at its relaxed geometry.

Geometry as POSCAR:
```
NaHOs2
1.0
-2.730 2.730 4.013
2.730 -2.730 4.013
2.730 2.730 -4.013
Na H Os
2 2 4
direct
0.375 0.625 0.750 Na
0.625 0.375 0.250 Na
0.125 0.875 0.250 H
0.875 0.125 0.750 H
0.000 0.000 0.000 Os
0.000 0.000 0.500 Os
0.000 0.500 0.000 Os
0.500 0.000 0.500 Os
```

Output
- DOS(E_F) (states/eV per cell) = 9.407

---

Which one is most stable, and which one is least stable? entry Q is the most stable of them, while entry P is the least stable.

---

Entry P
Density functional theory data (PBE) for crystalline Na2PH2 at its relaxed geometry.

Geometry as POSCAR:
```
Na2PH2
1.0
-2.565 2.565 2.894
2.565 -2.565 2.894
2.565 2.565 -2.894
Na P H
2 1 2
direct
0.250 0.750 0.500 Na
0.750 0.250 0.500 Na
0.000 0.000 0.000 P
0.276 0.276 0.000 H
0.724 0.724 0.000 H
```

Output
- DOS(E_F) (states/eV per cell) = 1.789

---

Entry Q
Density functional theory data (PBE) for crystalline Na2PH2 at its relaxed geometry.

Geometry as POSCAR:
```
Na2PH2
1.0
6.378 0.000 0.000
0.000 6.378 0.000
0.000 0.000 3.332
Na P H
4 2 4
direct
0.163 0.337 0.000 Na
0.337 0.837 0.000 Na
0.663 0.163 0.000 Na
0.837 0.663 0.000 Na
0.000 0.000 0.500 P
0.500 0.500 0.500 P
0.161 0.661 0.500 H
0.339 0.161 0.500 H
0.661 0.839 0.500 H
0.839 0.339 0.500 H
```

Output
- DOS(E_F) (states/eV per cell) = 2.253

---

Which one is most stable, and which one is least stable? entry P is the most stable of them, while entry Q is the least stable.

---

Entry P
Density functional theory data (PBE) for crystalline NaP2HS at its relaxed geometry.

Geometry as POSCAR:
```
NaP2HS
1.0
4.980 0.000 0.000
0.000 4.980 0.000
0.000 0.000 4.908
Na P H S
1 2 1 1
direct
0.000 0.000 0.000 Na
0.000 0.500 0.000 P
0.500 0.000 0.000 P
0.500 0.500 0.500 H
0.000 0.000 0.500 S
```

Output
- DOS(E_F) (states/eV per cell) = 2.877

---

Entry Q
Density functional theory data (PBE) for crystalline NaP2HS at its relaxed geometry.

Geometry as POSCAR:
```
NaP2HS
1.0
3.767 0.000 0.000
0.000 3.767 0.000
0.000 0.000 5.151
Na P H S
1 2 1 1
direct
0.000 0.000 0.000 Na
0.000 0.500 0.500 P
0.500 0.000 0.500 P
0.500 0.500 0.500 H
0.500 0.500 0.000 S
```

Output
- DOS(E_F) (states/eV per cell) = 1.836

---

Which one is most stable, and which one is least stable? entry Q is the most stable of them, while entry P is the least stable.

---

Entry P
Density functional theory data (PBE) for crystalline Na2H2Pb at its relaxed geometry.

Geometry as POSCAR:
```
Na2H2Pb
1.0
8.002 0.000 0.000
0.000 8.002 0.000
0.000 0.000 3.040
Na H Pb
4 4 2
direct
0.122 0.378 0.000 Na
0.378 0.878 0.000 Na
0.622 0.122 0.000 Na
0.878 0.622 0.000 Na
0.123 0.623 0.500 H
0.377 0.123 0.500 H
0.623 0.877 0.500 H
0.877 0.377 0.500 H
0.000 0.000 0.000 Pb
0.500 0.500 0.000 Pb
```

Output
- DOS(E_F) (states/eV per cell) = 5.721

---

Entry Q
Density functional theory data (PBE) for crystalline Na2H2Pb at its relaxed geometry.

Geometry as POSCAR:
```
Na2H2Pb
1.0
7.386 0.000 0.000
0.000 7.386 0.000
0.000 0.000 3.201
Na H Pb
4 4 2
direct
0.143 0.357 0.000 Na
0.357 0.857 0.000 Na
0.643 0.143 0.000 Na
0.857 0.643 0.000 Na
0.147 0.647 0.500 H
0.353 0.147 0.500 H
0.647 0.853 0.500 H
0.853 0.353 0.500 H
0.000 0.000 0.500 Pb
0.500 0.500 0.500 Pb
```

Output
- DOS(E_F) (states/eV per cell) = 0.188

---

Which one is most stable, and which one is least stable? entry Q is the most stable of them, while entry P is the least stable.

---

Entry P
Density functional theory data (PBE) for crystalline NaH2Pb at its relaxed geometry.

Geometry as POSCAR:
```
NaH2Pb
1.0
0.000 3.124 3.124
3.124 0.000 3.124
3.124 3.124 0.000
Na H Pb
1 2 1
direct
0.000 0.000 0.000 Na
0.250 0.250 0.250 H
0.750 0.750 0.750 H
0.500 0.500 0.500 Pb
```

Output
- DOS(E_F) (states/eV per cell) = 1.265

---

Entry Q
Density functional theory data (PBE) for crystalline NaH2Pb at its relaxed geometry.

Geometry as POSCAR:
```
NaH2Pb
1.0
-2.524 2.524 5.697
2.524 -2.524 5.697
2.524 2.524 -5.697
Na H Pb
2 4 2
direct
0.000 0.000 0.000 Na
0.750 0.250 0.500 Na
0.120 0.625 0.995 H
0.375 0.370 0.495 H
0.630 0.125 0.005 H
0.875 0.880 0.505 H
0.250 0.750 0.500 Pb
0.500 0.500 0.000 Pb
```

Output
- DOS(E_F) (states/eV per cell) = 1.834

---

Which one is most stable, and which one is least stable? entry Q is the most stable of them, while entry P is the least stable.

---

Entry P
Density functional theory data (PBE) for crystalline NaHPb3 at its relaxed geometry.

Geometry as POSCAR:
```
NaHPb3
1.0
5.559 0.000 0.000
0.000 5.559 0.000
0.000 0.000 5.559
Na H Pb
1 1 3
direct
0.000 0.000 0.000 Na
0.500 0.500 0.500 H
0.000 0.000 0.500 Pb
0.000 0.500 0.000 Pb
0.500 0.000 0.000 Pb
```

Output
- DOS(E_F) (states/eV per cell) = 2.900

---

Entry Q
Density functional theory data (PBE) for crystalline NaHPb3 at its relaxed geometry.

Geometry as POSCAR:
```
NaHPb3
1.0
5.002 0.000 0.000
0.000 5.002 0.000
0.000 0.000 5.002
Na H Pb
1 1 3
direct
0.000 0.000 0.000 Na
0.500 0.500 0.500 H
0.000 0.500 0.500 Pb
0.500 0.000 0.500 Pb
0.500 0.500 0.000 Pb
```

Output
- DOS(E_F) (states/eV per cell) = 1.221

---

Which one is most stable, and which one is least stable? entry Q is the most stable of them, while entry P is the least stable.